Below is Nd4AsSe2S after structural relaxation, with properties calculated at the PBE level.

Geometry as POSCAR:
```
Nd4AsSe2S
1.0
-0.422 -4.146 0.417
4.921 -1.040 -5.366
6.628 -0.385 2.892
Nd S Se As
4 1 2 1
Direct
0.500 0.736 0.251
0.500 0.264 0.749
0.000 0.732 0.759
0.000 0.268 0.241
0.500 0.500 0.000
0.000 0.000 0.000
0.500 0.000 0.500
0.000 0.500 0.500
```

## Properties
- ρ: 6.64 g/cm³
- E_tot: -6.19 eV per atom